1.
Below is a relaxed NaEuTm2 crystal, with properties calculated at the GGA-PBE level.

```
4
Lattice="1.755 1.013 12.871 -1.755 1.013 12.871 0.000 -2.027 12.871" Properties=species:S:1:pos:R:3 pbc="T T T"
Na 0.000 0.000 0.000
Eu 0.000 0.000 19.307
Tm 0.000 0.000 3.454
Tm 0.000 0.000 35.160
```

Computed properties:
Formation energy = 105 kJ/mol of formula units

---

2.
Below is a relaxed SnH2Br crystal, with properties calculated at the GGA-PBE level.

```
4
Lattice="0.000 3.121 3.121 3.121 0.000 3.121 3.121 3.121 0.000" Properties=species:S:1:pos:R:3 pbc="T T T"
Sn 0.000 0.000 0.000
H 1.560 1.560 1.560
H 4.681 4.681 4.681
Br 3.121 3.121 3.121
```

---

3.
Below is a relaxed NpMnSn2 crystal, with properties calculated at the GGA-PBE level.

```
4
Lattice="2.257 1.303 5.392 -2.257 1.303 5.392 0.000 -2.607 5.392" Properties=species:S:1:pos:R:3 pbc="T T T"
Np 0.000 0.000 0.000
Mn 0.000 0.000 8.088
Sn 0.000 0.000 3.668
Sn 0.000 0.000 12.508
```

Computed properties:
Formation energy = 77 kJ/mol of formula units

---

4.
Below is a relaxed YSc2Cd4 crystal, with properties calculated at the GGA-PBE level.

```
7
Lattice="-3.644 3.644 3.414 3.644 -3.644 3.414 3.644 3.644 -3.414" Properties=species:S:1:pos:R:3 pbc="T T T"
Y 0.000 0.000 0.000
Sc 3.644 0.000 0.000
Sc 0.000 3.644 0.000
Cd 1.822 1.822 -1.707
Cd 1.822 -1.822 1.707
Cd -1.822 1.822 1.707
Cd 1.822 1.822 1.707
```

Computed properties:
Formation energy = -113 kJ/mol of formula units

---

5.
Below is a relaxed SiIr crystal, with properties calculated at the GGA-PBE level.

```
4
Lattice="1.447 0.835 7.801 -1.447 0.835 7.801 0.000 -1.671 7.801" Properties=species:S:1:pos:R:3 pbc="T T T"
Si 0.000 0.000 2.935
Si 0.000 0.000 20.469
Ir 0.000 0.000 9.002
Ir 0.000 0.000 14.401
```

Computed properties:
Formation energy without anion corrections = -186 meV/atom

---

6.
Below is a relaxed Sr2CeRuO8 crystal, with properties calculated at the GGA-PBE level.

```
12
Lattice="4.571 0.000 0.000 0.000 7.060 0.000 -0.408 0.000 5.496" Properties=species:S:1:pos:R:3 pbc="T T T"
Sr 0.000 1.712 0.000
Sr 0.000 5.348 0.000
Ce 2.081 3.530 2.748
Ru 2.081 0.000 2.748
O 0.209 0.000 2.174
O 0.442 3.530 1.466
O 1.705 1.417 4.007
O 1.705 5.643 4.007
O 2.458 1.417 1.489
O 2.458 5.643 1.489
O 3.721 3.530 4.029
O 3.953 0.000 3.321
```

Computed properties:
Formation energy without anion corrections = -1999 meV/atom

---

Number 1: E_tot -4.863 eV per atom. Number 2: E_tot -2.441 eV per atom. Number 3: E_tot -7.330 eV per atom. Number 4: E_tot -3.423 eV per atom. Number 5: E_tot -7.328 eV per atom. Number 6: E_tot -6.853 eV per atom.